[1]
Entry from Alexandria: a relaxed structure of NaV3Ag (PBE).

Cell and atoms, written as POSCAR:
```
NaV3Ag
1.0
-1.8737 -2.6357 -3.8893
-1.4838 -3.6409 3.1822
-4.4578 2.3197 0.5755
Na Ag V
1 1 3
Direct
0.5000 0.5000 0.5000
0.0000 0.0000 0.0000
0.0000 0.5000 0.0000
0.0000 0.0000 0.5000
0.5000 0.0000 0.0000
```

Results
- DOS(E_F): 13.22 states/eV/cell
- ΔE to the lowest computed polymorph: 0.00 eV/f.u.
- E_form: 1.59 eV/atom
- Uncorrected energy: -4.7138 eV per atom

***

[2]
Entry from Alexandria: a relaxed structure of NaV3Ag (PBE).

Cell and atoms, written as POSCAR:
```
NaV3Ag
1.0
-2.3840 3.3509 1.8014
-2.7897 -2.9852 1.8609
2.5866 -0.1311 3.6673
Na Ag V
1 1 3
Direct
0.0000 0.0000 0.0000
0.5000 0.5000 0.5000
0.0000 0.5000 0.0000
0.0000 0.0000 0.5000
0.5000 0.0000 0.0000
```

Results
- DOS(E_F): 6.19 states/eV/cell
- ΔE to the lowest computed polymorph: 3.03 eV/f.u.
- E_form: 2.20 eV/atom
- Uncorrected energy: -4.1077 eV per atom

***

[3]
Entry from Alexandria: a relaxed structure of Na3AgW (PBE).

Cell and atoms, written as POSCAR:
```
Na3AgW
1.0
-0.7961 1.6828 -5.6119
2.5669 -4.9908 -1.8607
-5.2665 -2.6869 -0.0586
Na Ag W
3 1 1
Direct
0.0000 0.5000 0.0000
0.0000 0.0000 0.5000
0.5000 0.0000 0.0000
0.5000 0.5000 0.5000
0.0000 0.0000 0.0000
```

Results
- DOS(E_F): 3.94 states/eV/cell
- ΔE to the lowest computed polymorph: 1.03 eV/f.u.
- E_form: 1.59 eV/atom
- Uncorrected energy: -2.3642 eV per atom

***

[4]
Entry from Alexandria: a relaxed structure of NaAg2W (PBE).

Cell and atoms, written as POSCAR:
```
NaAg2W
1.0
0.0000 3.3139 3.3139
3.3139 0.0000 3.3139
3.3139 3.3139 0.0000
Na Ag W
1 2 1
Direct
0.0000 0.0000 0.0000
0.2500 0.2500 0.2500
0.7500 0.7500 0.7500
0.5000 0.5000 0.5000
```

Results
- DOS(E_F): 4.27 states/eV/cell
- ΔE to the lowest computed polymorph: 0.00 eV/f.u.
- E_form: 1.01 eV/atom
- Uncorrected energy: -3.9809 eV per atom

***

[5]
Entry from Alexandria: a relaxed structure of NaAg2W (PBE).

Cell and atoms, written as POSCAR:
```
NaAg2W
1.0
7.5680 0.0000 0.0000
0.0000 7.5680 0.0000
3.7840 3.7840 2.9306
Na Ag W
2 4 2
Direct
0.5000 0.5000 0.0000
0.2500 0.7500 0.5000
0.6382 0.1250 0.2500
0.1118 0.6250 0.2500
0.3750 0.3618 0.7500
0.8750 0.8882 0.7500
0.0000 0.0000 0.0000
0.7500 0.2500 0.5000
```

Results
- DOS(E_F): 4.42 states/eV/cell
- ΔE to the lowest computed polymorph: 1.09 eV/f.u.
- E_form: 1.28 eV/atom
- Uncorrected energy: -3.7090 eV per atom

***

[6]
Entry from Alexandria: a relaxed structure of Na3AgW (PBE).

Cell and atoms, written as POSCAR:
```
Na3AgW
1.0
5.4772 0.0000 0.0000
0.0000 5.4772 0.0000
0.0000 0.0000 5.4772
Na Ag W
3 1 1
Direct
0.0000 0.5000 0.0000
0.0000 0.0000 0.5000
0.5000 0.0000 0.0000
0.0000 0.0000 0.0000
0.5000 0.5000 0.5000
```

Results
- DOS(E_F): 2.84 states/eV/cell
- ΔE to the lowest computed polymorph: 0.00 eV/f.u.
- E_form: 1.38 eV/atom
- Uncorrected energy: -2.5703 eV per atom

***

[7]
Entry from Alexandria: a relaxed structure of NaY4Ag5 (PBE).

Cell and atoms, written as POSCAR:
```
NaY4Ag5
1.0
3.6098 0.0000 0.0000
0.0000 3.6098 0.0000
0.0000 0.0000 18.5286
Na Y Ag
1 4 5
Direct
0.0000 0.0000 0.0000
0.0000 0.0000 0.1990
0.0000 0.0000 0.4000
0.0000 0.0000 0.6000
0.0000 0.0000 0.8010
0.5000 0.5000 0.1043
0.5000 0.5000 0.3000
0.5000 0.5000 0.5000
0.5000 0.5000 0.7000
0.5000 0.5000 0.8957
```

Results
- DOS(E_F): 5.45 states/eV/cell
- E_form: -0.25 eV/atom
- Uncorrected energy: -4.3965 eV per atom

***

[8]
Entry from Alexandria: a relaxed structure of NaY3Ag (PBE).

Cell and atoms, written as POSCAR:
```
NaY3Ag
1.0
5.6532 0.0000 0.0000
0.0000 5.6532 0.0000
0.0000 0.0000 5.6532
Y Na Ag
3 1 1
Direct
0.0000 0.5000 0.0000
0.0000 0.0000 0.5000
0.5000 0.0000 0.0000
0.5000 0.5000 0.5000
0.0000 0.0000 0.0000
```

Results
- DOS(E_F): 7.99 states/eV/cell
- ΔE to the lowest computed polymorph: 0.00 eV/f.u.
- E_form: 0.30 eV/atom
- Uncorrected energy: -4.4117 eV per atom